1.
A relaxed structure of Pm8NdDy2. Source: the Alexandria database, functional PBE-GGA.

Unit cell a=9.1227 b=10.3913 c=10.3913 alpha=40.08 beta=41.23 gamma=41.23
Fractional coordinates of all 11 atoms:
Pm 0.2119 0.3331 0.7805
Pm 0.7881 0.2195 0.6669
Pm 0.2424 0.7081 0.7081
Pm 0.7576 0.2919 0.2919
Pm 0.2119 0.7805 0.3331
Pm 0.7881 0.6669 0.2195
Pm 0.6885 0.6566 0.6566
Pm 0.3115 0.3434 0.3434
Nd 0.0000 0.0000 0.0000
Dy 0.6820 0.8332 0.8332
Dy 0.3180 0.1668 0.1668

## Properties
Calculated formation energy: 140 meV per atom
Crystal system: monoclinic

***

2.
A relaxed structure of Pm7NdDy2. Source: the Alexandria database, functional PBE-GGA.

Unit cell a=5.7209 b=9.2427 c=9.2427 alpha=122.39 beta=90.00 gamma=90.00
Fractional coordinates of all 10 atoms:
Pm 0.0000 0.7739 0.2261
Pm 0.0000 0.2261 0.7739
Pm 0.5000 0.0631 0.2947
Pm 0.5000 0.9369 0.7053
Pm 0.5000 0.2947 0.0631
Pm 0.5000 0.7053 0.9369
Pm 0.5000 0.5000 0.5000
Nd 0.0000 0.0000 0.0000
Dy 0.5000 0.7039 0.2961
Dy 0.5000 0.2961 0.7039

## Properties
Calculated formation energy: 647 meV per atom
Crystal system: orthorhombic

***

3.
A relaxed structure of Pm8Nd3Dy. Source: the Alexandria database, functional PBE-GGA.

Unit cell a=8.5133 b=8.5133 c=8.5133 alpha=94.46 beta=117.46 gamma=117.46
Fractional coordinates of all 12 atoms:
Pm 0.4953 0.2420 0.2420
Pm 0.5047 0.7467 0.7467
Pm 0.0000 0.7580 0.2533
Pm 0.0000 0.2533 0.7580
Pm 0.2479 0.3721 0.3721
Pm 0.7521 0.1242 0.1242
Pm 0.0000 0.6279 0.8758
Pm 0.0000 0.8758 0.6279
Nd 0.5000 0.7500 0.2500
Nd 0.5000 0.2500 0.7500
Nd 0.0000 0.5000 0.5000
Dy 0.0000 0.0000 0.0000

## Properties
Calculated formation energy: 560 meV per atom
Crystal system: tetragonal